This record from Alexandria via LeMat-Bulk describes crystalline Nd4Y7Tm at its relaxed geometry. The functional is PBE-GGA.

Unit cell a=5.465 b=13.372 c=6.375 alpha=94.54 beta=64.62 gamma=78.21
Fractional positions:
Y  0.833  0.897  0.437
Y  0.960  0.628  0.452
Y  0.040  0.372  0.548
Y  0.167  0.103  0.563
Y  0.500  0.000  0.000
Y  0.329  0.532  0.811
Y  0.671  0.468  0.189
Nd  0.742  0.221  0.296
Nd  0.586  0.737  0.091
Nd  0.258  0.779  0.704
Nd  0.414  0.263  0.909
Tm  0.000  0.000  0.000

Computed properties:
Relative energy among the computed polymorphs = 0 meV/atom
Magnetization = 0.00 μB/cell
Space-group type = C2/m (12)
Raw total energy = -66.10 eV/cell
Crystal system = monoclinic
DFT formation energy = 0.224 eV per atom



This record from Alexandria via LeMat-Bulk describes crystalline Nd3Y7Tm2 at its relaxed geometry. The functional is PBE-GGA.

Unit cell a=3.636 b=5.612 c=20.668 alpha=90.00 beta=95.05 gamma=90.00
Fractional positions:
Y  0.285  0.500  0.570
Y  0.715  0.500  0.430
Y  0.414  0.000  0.828
Y  0.000  0.000  0.000
Y  0.068  0.500  0.135
Y  0.932  0.500  0.865
Y  0.586  0.000  0.172
Nd  0.831  0.000  0.662
Nd  0.169  0.000  0.338
Nd  0.500  0.500  0.000
Tm  0.637  0.500  0.273
Tm  0.363  0.500  0.727

Computed properties:
Magnetization = 0.97 μB/cell
Space-group type = P2/m (10)
Raw total energy = -65.74 eV/cell
Crystal system = monoclinic
DFT formation energy = 0.229 eV per atom



This record from Alexandria via LeMat-Bulk describes crystalline Nd6Y8Tm at its relaxed geometry. The functional is PBE-GGA.

Unit cell a=6.210 b=9.748 c=9.748 alpha=120.00 beta=90.00 gamma=90.00
Fractional positions:
Nd  0.305  0.364  0.911
Nd  0.305  0.089  0.453
Nd  0.695  0.636  0.089
Nd  0.305  0.547  0.636
Nd  0.695  0.911  0.547
Nd  0.695  0.453  0.364
Y  0.823  0.333  0.667
Y  0.177  0.667  0.333
Y  0.807  0.038  0.271
Y  0.193  0.962  0.729
Y  0.193  0.271  0.232
Y  0.193  0.768  0.038
Y  0.807  0.232  0.962
Y  0.807  0.729  0.768
Tm  0.500  0.000  0.000

Computed properties:
Relative energy among the computed polymorphs = 0 meV/atom
Magnetization = 0.00 μB/cell
Space-group type = P-3 (147)
Raw total energy = -82.31 eV/cell
Crystal system = trigonal
DFT formation energy = 0.165 eV per atom



This record from Alexandria via LeMat-Bulk describes crystalline Nd3Y2Tm3 at its relaxed geometry. The functional is PBE-GGA.

Unit cell a=5.944 b=5.947 c=8.513 alpha=110.47 beta=110.43 gamma=90.00
Fractional positions:
Tm  0.876  0.376  0.753
Tm  0.124  0.624  0.247
Tm  0.000  0.000  0.000
Nd  0.500  0.500  0.000
Nd  0.373  0.874  0.747
Nd  0.627  0.126  0.253
Y  0.752  0.752  0.504
Y  0.248  0.248  0.496

Computed properties:
Relative energy among the computed polymorphs = 102 meV/atom
Magnetization = 0.00 μB/cell
Space-group type = Immm (71)
Raw total energy = -39.64 eV/cell
Crystal system = orthorhombic
DFT formation energy = 0.126 eV per atom



This record from Alexandria via LeMat-Bulk describes crystalline Nd3Y5Tm2 at its relaxed geometry. The functional is PBE-GGA.

Unit cell a=9.391 b=9.366 c=11.141 alpha=124.25 beta=124.30 gamma=70.24
Fractional positions:
Y  0.471  0.721  0.443
Y  0.856  0.610  0.732
Y  0.144  0.390  0.268
Y  0.529  0.279  0.557
Y  0.974  0.224  0.447
Y  0.026  0.776  0.553
Y  0.624  0.878  0.268
Y  0.726  0.476  0.952
Y  0.376  0.122  0.732
Y  0.274  0.524  0.048
Nd  0.019  0.776  0.249
Nd  0.981  0.224  0.751
Nd  0.730  0.474  0.249
Nd  0.231  0.981  0.962
Nd  0.769  0.019  0.038
Nd  0.270  0.526  0.751
Tm  0.770  0.014  0.739
Tm  0.469  0.724  0.739
Tm  0.531  0.276  0.261
Tm  0.230  0.986  0.261

Computed properties:
Magnetization = 0.00 μB/cell
Space-group type = C2/c (15)
Raw total energy = -107.42 eV/cell
Crystal system = monoclinic
DFT formation energy = 0.186 eV per atom



This record from Alexandria via LeMat-Bulk describes crystalline NdY7Tm12 at its relaxed geometry. The functional is PBE-GGA.

Unit cell a=8.659 b=8.659 c=8.659 alpha=87.37 beta=87.37 gamma=87.37
Fractional positions:
Y  0.002  0.366  0.879
Y  0.634  0.121  0.998
Y  0.121  0.998  0.634
Y  0.366  0.879  0.002
Y  0.879  0.002  0.366
Y  0.500  0.500  0.500
Y  0.998  0.634  0.121
Tm  0.565  0.893  0.653
Tm  0.435  0.107  0.347
Tm  0.235  0.762  0.357
Tm  0.107  0.347  0.435
Tm  0.357  0.235  0.762
Tm  0.893  0.653  0.565
Tm  0.238  0.643  0.765
Tm  0.762  0.357  0.235
Tm  0.347  0.435  0.107
Tm  0.765  0.238  0.643
Tm  0.643  0.765  0.238
Tm  0.653  0.565  0.893
Nd  0.000  0.000  0.000

Computed properties:
Relative energy among the computed polymorphs = 0 meV/atom
Magnetization = 0.00 μB/cell
Space-group type = R-3 (148)
Raw total energy = -98.63 eV/cell
Crystal system = trigonal
DFT formation energy = 0.252 eV per atom



This record from Alexandria via LeMat-Bulk describes crystalline Nd7Y2Tm2 at its relaxed geometry. The functional is PBE-GGA.

Unit cell a=6.094 b=8.163 c=8.163 alpha=88.60 beta=74.49 gamma=74.49
Fractional positions:
Nd  0.823  0.409  0.957
Nd  0.000  0.000  0.000
Nd  0.396  0.235  0.235
Nd  0.177  0.591  0.043
Nd  0.604  0.765  0.765
Nd  0.823  0.957  0.409
Nd  0.177  0.043  0.591
Y  0.500  0.782  0.218
Y  0.500  0.218  0.782
Tm  0.203  0.578  0.578
Tm  0.797  0.422  0.422

Computed properties:
Relative energy among the computed polymorphs = 0 meV/atom
Magnetization = 0.00 μB/cell
Space-group type = C2/m (12)
Raw total energy = -53.63 eV/cell
Crystal system = monoclinic
DFT formation energy = 0.147 eV per atom



This record from Alexandria via LeMat-Bulk describes crystalline Nd4Y3Tm2 at its relaxed geometry. The functional is PBE-GGA.

Unit cell a=6.047 b=10.266 c=10.266 alpha=69.80 beta=84.12 gamma=84.12
Fractional positions:
Tm  0.701  0.495  0.708
Tm  0.799  0.292  0.505
Tm  0.201  0.708  0.495
Tm  0.299  0.505  0.292
Y  0.250  0.351  0.649
Y  0.580  0.680  0.981
Y  0.420  0.320  0.019
Y  0.080  0.981  0.680
Y  0.920  0.019  0.320
Y  0.750  0.649  0.351
Nd  0.113  0.614  0.837
Nd  0.546  0.050  0.823
Nd  0.046  0.823  0.050
Nd  0.887  0.386  0.163
Nd  0.954  0.177  0.950
Nd  0.613  0.837  0.614
Nd  0.387  0.163  0.386
Nd  0.454  0.950  0.177

Computed properties:
Relative energy among the computed polymorphs = 45 meV/atom
Magnetization = 0.00 μB/cell
Space-group type = C2/c (15)
Raw total energy = -93.20 eV/cell
Crystal system = monoclinic
DFT formation energy = 0.090 eV per atom